! PBE PmGdMgIr, optimized geometry; values from VASP
! Spin magnetization, μB/atom: 1.77
! Formation energy from the elements, meV per atom: -372
! Symmetry: F-43m (216)
! Mass density, Mg/m³: 9.1
&SYSTEM
  ibrav = 0, nat = 4, ntyp = 4
/
ATOMIC_SPECIES
Pm 145.00 Pm.upf
Gd 157.25 Gd.upf
Mg 24.30 Mg.upf
Ir 192.22 Ir.upf
CELL_PARAMETERS angstrom
0.000 3.616 3.616
3.616 0.000 3.616
3.616 3.616 0.000
ATOMIC_POSITIONS crystal
Pm 0.000 0.000 0.000
Gd 0.500 0.500 0.500
Mg 0.250 0.250 0.250
Ir 0.750 0.750 0.750